No. 1
An optimized crystal structure of ZrBeSb2. Source: Alexandria, functional PBE-GGA.

Geometry as POSCAR:
```
ZrBeSb2
1.0
3.155 0.000 0.000
0.000 3.155 0.000
0.000 0.000 9.246
Zr Be Sb
1 1 2
direct
0.000 0.000 0.000 Zr
0.500 0.500 0.176 Be
0.000 0.000 0.346 Sb
0.500 0.500 0.747 Sb
```

## Properties
Symmetry = P4mm, No. 99
DOS at the Fermi energy = 0.666 states/eV/atom
Magnetic moment = 0.00 Bohr magnetons per cell
Formation energy without anion corrections = -6 meV per atom

No. 2
An optimized crystal structure of YBeSi3. Source: Alexandria, functional PBE-GGA.

Geometry as POSCAR:
```
YBeSi3
1.0
4.432 0.000 0.000
0.000 4.432 0.000
0.000 0.000 4.432
Y Be Si
1 1 3
direct
0.000 0.000 0.000 Y
0.500 0.500 0.500 Be
0.000 0.500 0.500 Si
0.500 0.000 0.500 Si
0.500 0.500 0.000 Si
```

## Properties
Symmetry = Pm-3m, No. 221
DOS at the Fermi energy = 0.516 states/eV/atom
Magnetic moment = 0.00 Bohr magnetons per cell
Formation energy without anion corrections = 214 meV per atom

No. 3
An optimized crystal structure of Ac2CuReO8. Source: Alexandria, functional PBE-GGA.

Geometry as POSCAR:
```
Ac2CuReO8
1.0
4.537 0.000 0.000
0.735 5.417 0.000
0.464 0.807 7.015
Ac Cu Re O
2 1 1 8
direct
0.199 0.026 0.242 Ac
0.801 0.974 0.758 Ac
0.500 0.500 0.000 Cu
0.500 0.500 0.500 Re
0.184 0.735 0.557 O
0.304 0.819 0.942 O
0.307 0.238 0.619 O
0.322 0.486 0.249 O
0.678 0.514 0.751 O
0.693 0.762 0.381 O
0.696 0.181 0.058 O
0.816 0.265 0.443 O
```

## Properties
Symmetry = P-1, No. 2
Magnetic moment = 0.00 Bohr magnetons per cell
Formation energy without anion corrections = -2115 meV per atom